No. 1
Computed, not measured: crystalline AsRh at its relaxed geometry at the PBE level of DFT.

E_form   -0.229 eV per atom
SG   No. 136
Raw total energy   -6.2294 eV per atom
Total magnetic moment   0.00 μB per atom

Cell lengths 7.4884, 7.4884, 2.9421 Å; angles 90.00, 90.00, 90.00 degrees
With the nearest neighbours (Å) after each atom.
Atoms (fractional coordinates):
1 Rh 0.8650 0.8650 0.0000  4 As 2.40-2.43
2 Rh 0.3650 0.6350 0.5000  4 As 2.40-2.43
3 Rh 0.1350 0.1350 0.0000  4 As 2.40-2.43
4 As 0.3144 0.3144 0.5000  4 Rh 2.40-2.43
5 As 0.1856 0.8144 0.0000  4 Rh 2.40-2.43
6 As 0.8144 0.1856 0.0000  4 Rh 2.40-2.43
7 Rh 0.6350 0.3650 0.5000  4 As 2.40-2.43
8 As 0.6856 0.6856 0.5000  4 Rh 2.40-2.43



No. 2
Computed, not measured: crystalline Zr5Co2Au2 at its relaxed geometry at the PBE level of DFT.

E_form   -0.358 eV per atom
SG   No. 64
Raw total energy   -7.4139 eV per atom
Total magnetic moment   0.00 μB per atom

Cell lengths 6.3970, 7.4861, 7.9919 Å; angles 90.00, 66.41, 90.00 degrees
With the nearest neighbours (Å) after each atom.
Atoms (fractional coordinates):
1 Zr 0.7889 0.8184 0.7554  3 Co 2.63-2.91, 2 Au 2.87-2.94
2 Co 0.8735 0.6222 0.0000  1 Co 2.44, 5 Zr 2.56-2.67
3 Zr 0.2111 0.1816 0.2446  3 Co 2.63-2.91, 2 Au 2.87-2.94
4 Zr 0.4557 0.1816 0.7554  3 Co 2.63-2.91, 2 Au 2.87-2.94
5 Au 0.7844 0.0000 0.4312  7 Zr 2.87-3.16
6 Co 0.1265 0.3778 0.0000  1 Co 2.44, 5 Zr 2.56-2.67
7 Au 0.2844 0.5000 0.4312  7 Zr 2.87-3.16
8 Zr 0.2889 0.6816 0.7554  3 Co 2.63-2.91, 2 Au 2.87-2.94
9 Zr 0.9557 0.3184 0.7554  3 Co 2.63-2.91, 2 Au 2.87-2.94
10 Co 0.6265 0.1222 0.0000  1 Co 2.44, 5 Zr 2.56-2.67
11 Co 0.3735 0.8778 0.0000  1 Co 2.44, 5 Zr 2.56-2.67
12 Zr 0.7111 0.3184 0.2446  3 Co 2.63-2.91, 2 Au 2.87-2.94
13 Zr 0.0443 0.6816 0.2446  3 Co 2.63-2.91, 2 Au 2.87-2.94
14 Zr 0.5000 0.5000 0.0000  2 Co 2.56
15 Zr 0.0000 0.0000 0.0000  2 Co 2.56
16 Au 0.7156 0.5000 0.5688  7 Zr 2.87-3.16
17 Au 0.2156 0.0000 0.5688  7 Zr 2.87-3.16
18 Zr 0.5443 0.8184 0.2446  3 Co 2.63-2.91, 2 Au 2.87-2.94



No. 3
Computed, not measured: crystalline SiSbTe2Pd at its relaxed geometry at the PBE level of DFT.

Uncorrected formation energy   621 meV per atom
SG   No. 123
Raw total energy   -3.5837 eV per atom
Total magnetic moment   0.00 μB per atom

Cell lengths 5.3616, 5.3616, 5.0607 Å; angles 90.00, 90.00, 90.00 degrees
With the nearest neighbours (Å) after each atom.
Atoms (fractional coordinates):
1 Te 0.5000 0.0000 0.0000  2 Pd 2.68
2 Te 0.0000 0.5000 0.0000  2 Pd 2.68
3 Pd 0.0000 0.0000 0.0000  2 Sb 2.53, 4 Te 2.68
4 Si 0.5000 0.5000 0.5000  8 Te 3.69, 4 Sb 3.79
5 Sb 0.0000 0.0000 0.5000  2 Pd 2.53



No. 4
Computed, not measured: crystalline Ca2SiP at its relaxed geometry at the PBE level of DFT.

Uncorrected formation energy   -517 meV per atom
SG   No. 47
Raw total energy   -4.2261 eV per atom
Total magnetic moment   0.00 μB per atom

Cell lengths 3.5780, 3.8218, 6.5334 Å; angles 90.00, 90.00, 90.00 degrees
With the nearest neighbours (Å) after each atom.
Atoms (fractional coordinates):
1 Ca 0.0000 0.0000 0.4852  4 P 3.04, 1 Ca 3.07, 4 Si 3.14
2 Ca 0.0000 0.0000 0.0148  4 P 3.04, 1 Ca 3.07, 4 Si 3.14
3 Si 0.5000 0.5000 0.7500  8 Ca 3.14, 2 P 3.27
4 P 0.5000 0.5000 0.2500  8 Ca 3.04, 2 Si 3.27



No. 5
Computed, not measured: crystalline GdSbPdRh at its relaxed geometry at the PBE level of DFT.

Uncorrected formation energy   -735 meV per atom
SG   No. 216
Raw total energy   -8.4217 eV per atom
Total magnetic moment   1.77 μB per atom

Cell lengths 4.7941, 4.7941, 4.7941 Å; angles 60.00, 60.00, 60.00 degrees
With the nearest neighbours (Å) after each atom.
Atoms (fractional coordinates):
1 Sb 0.7500 0.7500 0.7500  4 Rh 2.94, 4 Pd 2.94
2 Gd 0.2500 0.2500 0.2500  4 Pd 2.94, 4 Rh 2.94
3 Pd 0.0000 0.0000 0.0000  4 Gd 2.94, 4 Sb 2.94
4 Rh 0.5000 0.5000 0.5000  4 Gd 2.94, 4 Sb 2.94



No. 6
Computed, not measured: crystalline PmNiB at its relaxed geometry at the PBE level of DFT.

E_form   -0.355 eV per atom
SG   No. 11
Raw total energy   -6.0920 eV per atom
Total magnetic moment   0.00 μB per atom

Cell lengths 3.5245, 3.5376, 9.5948 Å; angles 111.64, 111.60, 90.01 degrees
With the nearest neighbours (Å) after each atom.
Atoms (fractional coordinates):
1 Ni 0.2502 0.2502 0.0001  4 B 2.06-2.07
2 Ni 0.7498 0.7498 0.9999  4 B 2.06-2.07
3 Pm 0.4519 0.9521 0.7023  4 B 2.85, 4 Ni 3.01
4 B 0.8808 0.3804 0.1304  4 Ni 2.06-2.07
5 Pm 0.5481 0.0479 0.2977  4 B 2.85, 4 Ni 3.01
6 B 0.1192 0.6196 0.8696  4 Ni 2.06-2.07